DFT (PBE) results for an optimized crystal structure of HoNbRh.

Computed properties:
Its spin magnetization is 0.00 μB/atom. The calculation puts the electronic total energy at -7.60 eV per atom. The calculation puts the formation energy at -264 meV/atom.

Lattice parameters (Å, degrees): 3.313 3.313 10.758 90.00 90.00 90.11
Atoms (fractional coordinates):
Ho (0.000, 0.000, 0.162)
Ho (0.000, 0.000, 0.838)
Nb (0.500, 0.500, 0.360)
Nb (0.500, 0.500, 0.640)
Rh (0.000, 0.000, 0.500)
Rh (0.500, 0.500, 0.000)

---

DFT (PBE) results for an optimized crystal structure of Sr2ZnRe.

Computed properties:
Its spin magnetization is 0.12 μB/atom. The calculation puts the electronic total energy at -3.34 eV per atom. The calculation puts the formation energy at 932 meV/atom.

Lattice parameters (Å, degrees): 4.646 4.646 8.332 95.08 95.08 38.14
Atoms (fractional coordinates):
Sr (0.247, 0.247, 0.228)
Sr (0.753, 0.753, 0.772)
Zn (0.000, 0.000, 0.500)
Re (0.500, 0.500, 0.000)

---

DFT (PBE) results for an optimized crystal structure of LaDyYEr2.

Computed properties:
Its spin magnetization is 0.00 μB/atom. The calculation puts the electronic total energy at -4.66 eV per atom. The calculation puts the formation energy at 366 meV/atom.

Lattice parameters (Å, degrees): 7.131 7.131 7.238 90.00 90.00 107.68
Atoms (fractional coordinates):
La (0.233, 0.767, 0.750)
La (0.767, 0.233, 0.250)
Dy (0.216, 0.784, 0.250)
Dy (0.784, 0.216, 0.750)
Y (0.496, 0.504, 0.250)
Y (0.504, 0.496, 0.750)
Er (0.189, 0.189, 0.000)
Er (0.189, 0.189, 0.500)
Er (0.811, 0.811, 0.000)
Er (0.811, 0.811, 0.500)